Density functional theory data (GGA+U) for Li2U3V2O15 after structural relaxation.

The value obtained for the volume is 1386.4 Å³/cell. As for the total energy: -8.36 eV/atom. Its crystal system is tetragonal.

The space group is I4_1/amd (No. 141, origin choice 2) and the conventional cell measures 7.4393, 7.4393 and 25.0509 Å, with angles of 90.00, 90.00 and 90.00 degrees. The distinct sites, in fractional coordinates, are Li at (0.0000, 0.2500, 0.0285), U at (0.0000, 0.2500, 0.2902), U at (0.0000, 0.2500, 0.8750), V at (0.0000, 0.2500, 0.1576), O at (0.0000, 0.0039, 0.2883), O at (0.0000, 0.0559, 0.1190), O at (0.0000, 0.0723, 0.5471), O at (0.0000, 0.2500, 0.3750) and O at (0.0000, 0.2500, 0.8015).



Density functional theory data (GGA+U) for LiUV2O6 after structural relaxation.

The value obtained for the volume is 118.3 Å³/cell. As for the total energy: -8.21 eV/atom. Its crystal system is triclinic.

The space group is P1 (No. 1) and the conventional cell measures 5.3607, 5.3611 and 5.6179 Å, with angles of 89.98, 62.30 and 60.19 degrees. The distinct sites, in fractional coordinates, are Li at (0.0000, 0.0000, 0.0000), U at (0.9821, 0.5149, 0.5246), V at (0.5650, 0.7208, 0.1459), V at (0.5753, 0.2087, 0.6281), O at (0.0720, 0.5874, 0.8441), O at (0.0844, 0.8327, 0.3512), O at (0.4750, 0.0923, 0.3555), O at (0.4939, 0.9299, 0.8415), O at (0.7244, 0.4418, 0.3575) and O at (0.7401, 0.3387, 0.8296).



Density functional theory data (GGA+U) for LiUV2O8 after structural relaxation.

The value obtained for the volume is 278.7 Å³/cell. As for the total energy: -7.86 eV/atom. Its crystal system is tetragonal.

The space group is I-4 (No. 82) and the conventional cell measures 5.0371, 5.0371 and 10.9862 Å, with angles of 90.00, 90.00 and 90.00 degrees. The distinct sites, in fractional coordinates, are Li at (0.0000, 0.0000, 0.0000), U at (0.0000, 0.5000, 0.7500), V at (0.0000, 0.0000, 0.5000), V at (0.0000, 0.5000, 0.2500), O at (0.1507, 0.2507, 0.5879) and O at (0.1646, 0.7581, 0.1720).